1.
First-principles (GGA-PBE) data for a geometry-optimized RbUIrO6 structure, as listed in Alexandria via LeMat-Bulk. Values from VASP.

Total moment   0.00 μB/f.u.
Formation energy (no corrections)   -1.98 eV/atom

The structure in Quantum ESPRESSO input format:
```
&SYSTEM
  ibrav = 0, nat = 18, ntyp = 4
/
ATOMIC_SPECIES
Rb 85.47 Rb.upf
O 16.00 O.upf
U 238.03 U.upf
Ir 192.22 Ir.upf
ATOMIC_POSITIONS crystal
Rb 0.866 0.616 0.731
Rb 0.134 0.384 0.269
O 0.195 0.920 0.746
O 0.551 0.326 0.746
O 0.195 0.326 0.746
O 0.827 0.077 0.654
O 0.549 0.299 0.098
O 0.449 0.080 0.254
O 0.805 0.674 0.254
O 0.449 0.674 0.254
O 0.451 0.701 0.902
U 0.500 0.000 0.500
U 0.000 0.000 0.500
O 0.551 0.920 0.746
O 0.805 0.080 0.254
Ir 0.500 0.000 0.000
O 0.173 0.923 0.346
Ir 0.500 0.500 0.000
CELL_PARAMETERS angstrom
7.893 0.000 0.000
0.000 7.281 0.000
-3.947 -3.640 5.359
```

=====

2.
First-principles (GGA-PBE) data for a geometry-optimized CsK2CdBr structure, as listed in Alexandria via LeMat-Bulk. Values from VASP.

Total moment   0.00 μB/f.u.
Relative energy among the computed polymorphs   363 meV per atom
Formation energy (no corrections)   -0.22 eV/atom

The structure in Quantum ESPRESSO input format:
```
&SYSTEM
  ibrav = 0, nat = 5, ntyp = 4
/
ATOMIC_SPECIES
Br 79.90 Br.upf
Cd 112.41 Cd.upf
Cs 132.91 Cs.upf
K 39.10 K.upf
ATOMIC_POSITIONS crystal
Br 0.000 0.500 0.000
Cd 0.500 0.500 0.500
Cs 0.000 0.000 0.000
K 0.500 0.000 0.000
K 0.000 0.000 0.500
CELL_PARAMETERS angstrom
-7.567 2.654 0.947
-1.531 -2.257 -5.906
-2.081 -7.093 3.250
```

=====

3.
First-principles (GGA-PBE) data for a geometry-optimized TbPuIr2 structure, as listed in Alexandria via LeMat-Bulk. Values from VASP.

Total moment   4.83 μB/f.u.
Relative energy among the computed polymorphs   52 meV per atom
Formation energy   -0.571 eV/atom

The structure in Quantum ESPRESSO input format:
```
&SYSTEM
  ibrav = 0, nat = 4, ntyp = 3
/
ATOMIC_SPECIES
Ir 192.22 Ir.upf
Tb 158.93 Tb.upf
Pu 244.00 Pu.upf
ATOMIC_POSITIONS crystal
Ir 0.000 0.500 0.000
Ir 0.000 0.000 0.500
Tb 0.500 0.500 0.500
Pu 0.500 0.000 0.000
CELL_PARAMETERS angstrom
3.243 0.000 0.000
0.000 4.998 0.000
0.000 0.000 4.998
```

=====

4.
First-principles (GGA-PBE) data for a geometry-optimized EuTmPd structure, as listed in Alexandria via LeMat-Bulk. Values from VASP.

Total moment   7.19 μB/f.u.
Relative energy among the computed polymorphs   102 meV per atom
Formation energy   -0.424 eV/atom

The structure in Quantum ESPRESSO input format:
```
&SYSTEM
  ibrav = 0, nat = 3, ntyp = 3
/
ATOMIC_SPECIES
Eu 151.96 Eu.upf
Tm 168.93 Tm.upf
Pd 106.42 Pd.upf
ATOMIC_POSITIONS crystal
Eu 0.000 0.000 0.000
Tm 0.500 0.500 0.500
Pd 0.250 0.250 0.250
CELL_PARAMETERS angstrom
-2.889 2.114 3.425
-4.882 0.370 -0.763
-3.139 -2.773 2.648
```

=====

The records above yield total DFT energy (no corrections) values of -7.64, -1.35, -9.74, -7.07 eV/atom, respectively.